{
  "formula": "YPaCuAu",
  "functional": "PBE",
  "state": "optimized geometry",
  "cell": [[0.000, 3.553, 3.553], [3.553, 0.000, 3.553], [3.553, 3.553, 0.000]],
  "species": ["Y", "Pa", "Cu", "Au"],
  "frac_coords": [[0.000, 0.000, 0.000], [0.500, 0.500, 0.500], [0.750, 0.750, 0.750], [0.250, 0.250, 0.250]],
  "ef_ev_per_atom": -0.17,
  "spacegroup": "No. 216",
  "magnetic_moment_mub_per_fu": 0.6
}

***

{
  "formula": "PaZnCuAu",
  "functional": "PBE",
  "state": "optimized geometry",
  "cell": [[0.000, 3.364, 3.364], [3.364, 0.000, 3.364], [3.364, 3.364, 0.000]],
  "species": ["Pa", "Zn", "Cu", "Au"],
  "frac_coords": [[0.000, 0.000, 0.000], [0.500, 0.500, 0.500], [0.750, 0.750, 0.750], [0.250, 0.250, 0.250]],
  "ef_ev_per_atom": -0.15,
  "spacegroup": "No. 216",
  "magnetic_moment_mub_per_fu": 0.0
}

***

{
  "formula": "CuPb4Au",
  "functional": "PBE",
  "state": "optimized geometry",
  "cell": [[0.000, 4.483, 4.483], [4.483, 0.000, 4.483], [4.483, 4.483, 0.000]],
  "species": ["Cu", "Pb", "Pb", "Pb", "Pb", "Au"],
  "frac_coords": [[0.000, 0.000, 0.000], [0.125, 0.625, 0.625], [0.625, 0.125, 0.625], [0.625, 0.625, 0.125], [0.625, 0.625, 0.625], [0.250, 0.250, 0.250]],
  "ef_ev_per_atom": 0.58,
  "spacegroup": "No. 216",
  "magnetic_moment_mub_per_fu": 0.0
}

***

{
  "formula": "CuPb2Au2",
  "functional": "PBE",
  "state": "optimized geometry",
  "cell": [[7.665, 0.000, 0.000], [0.000, 7.665, 0.000], [0.000, 0.000, 4.112]],
  "species": ["Cu", "Cu", "Pb", "Pb", "Pb", "Pb", "Au", "Au", "Au", "Au"],
  "frac_coords": [[0.000, 0.000, 0.000], [0.500, 0.500, 0.000], [0.175, 0.325, 0.000], [0.325, 0.825, 0.000], [0.675, 0.175, 0.000], [0.825, 0.675, 0.000], [0.132, 0.632, 0.500], [0.368, 0.132, 0.500], [0.632, 0.868, 0.500], [0.868, 0.368, 0.500]],
  "e_above_lowest_polymorph_mev_per_atom": 152.4,
  "ef_ev_per_atom": 0.23,
  "spacegroup": "No. 127",
  "magnetic_moment_mub_per_fu": 0.0
}

***

{
  "formula": "Cu2Pb2Au",
  "functional": "PBE",
  "state": "optimized geometry",
  "cell": [[7.021, 0.000, 0.000], [0.000, 7.021, 0.000], [0.000, 0.000, 4.141]],
  "species": ["Cu", "Cu", "Cu", "Cu", "Pb", "Pb", "Pb", "Pb", "Au", "Au"],
  "frac_coords": [[0.128, 0.372, 0.000], [0.372, 0.872, 0.000], [0.628, 0.128, 0.000], [0.872, 0.628, 0.000], [0.174, 0.674, 0.500], [0.326, 0.174, 0.500], [0.674, 0.826, 0.500], [0.826, 0.326, 0.500], [0.000, 0.000, 0.000], [0.500, 0.500, 0.000]],
  "e_above_lowest_polymorph_mev_per_atom": 0.0,
  "ef_ev_per_atom": 0.11,
  "spacegroup": "No. 127",
  "magnetic_moment_mub_per_fu": 0.0
}

***

{
  "formula": "CuPbAu3",
  "functional": "PBE",
  "state": "optimized geometry",
  "cell": [[5.316, 0.000, 0.000], [0.000, 5.316, 0.000], [0.000, 0.000, 5.316]],
  "species": ["Cu", "Pb", "Au", "Au", "Au"],
  "frac_coords": [[0.000, 0.000, 0.000], [0.500, 0.500, 0.500], [0.000, 0.500, 0.500], [0.500, 0.000, 0.500], [0.500, 0.500, 0.000]],
  "e_above_lowest_polymorph_mev_per_atom": 934.8,
  "ef_ev_per_atom": 0.96,
  "spacegroup": "No. 221",
  "magnetic_moment_mub_per_fu": 0.0
}

***

{
  "formula": "CuPbAu3",
  "functional": "PBE",
  "state": "optimized geometry",
  "cell": [[4.862, 0.000, 0.000], [0.000, 4.862, 0.000], [0.000, 0.000, 4.862]],
  "species": ["Cu", "Pb", "Au", "Au", "Au"],
  "frac_coords": [[0.000, 0.000, 0.000], [0.500, 0.500, 0.500], [0.000, 0.000, 0.500], [0.000, 0.500, 0.000], [0.500, 0.000, 0.000]],
  "e_above_lowest_polymorph_mev_per_atom": 226.4,
  "ef_ev_per_atom": 0.26,
  "spacegroup": "No. 221",
  "magnetic_moment_mub_per_fu": 0.0
}

***

{
  "formula": "CuPb3Au",
  "functional": "PBE",
  "state": "optimized geometry",
  "cell": [[5.217, 0.000, 0.000], [0.000, 5.217, 0.000], [0.000, 0.000, 5.217]],
  "species": ["Cu", "Pb", "Pb", "Pb", "Au"],
  "frac_coords": [[0.000, 0.000, 0.000], [0.000, 0.000, 0.500], [0.000, 0.500, 0.000], [0.500, 0.000, 0.000], [0.500, 0.500, 0.500]],
  "e_above_lowest_polymorph_mev_per_atom": 0.0,
  "ef_ev_per_atom": 0.33,
  "spacegroup": "No. 221",
  "magnetic_moment_mub_per_fu": 0.0
}